# Cu2Te6Rh

A relaxed Cu2Te6Rh crystal (PBE, the Alexandria database).

abc: 8.6093 8.6093 6.6818
angles: 104.47 104.47 92.97
Positions (direct):
1 Cu 0.0567 0.2307 0.2282
2 Cu 0.2307 0.0567 0.7282
3 Cu 0.7693 0.9433 0.2718
4 Cu 0.9433 0.7693 0.7718
5 Te 0.0056 0.7964 0.4225
6 Te 0.1356 0.5501 0.8430
7 Te 0.2036 0.9944 0.0775
8 Te 0.2995 0.4600 0.3228
9 Te 0.4499 0.8644 0.6570
10 Te 0.4600 0.2995 0.8228
11 Te 0.5400 0.7005 0.1772
12 Te 0.5501 0.1356 0.3430
13 Te 0.7005 0.5400 0.6772
14 Te 0.7964 0.0056 0.9225
15 Te 0.8644 0.4499 0.1570
16 Te 0.9944 0.2036 0.5775
17 Rh 0.4116 0.5884 0.7500
18 Rh 0.5884 0.4116 0.2500

Values from the calculation:
VASP energy	-70.29	eV for the cell shown
crystal system	monoclinic
raw formation energy	-0.08	eV per atom
symmetry	C2/c

# Zn2ReP

A relaxed Zn2ReP crystal (PBE, the Alexandria database).

abc: 3.5731 3.5731 4.4147
angles: 90.00 90.00 90.00
Positions (direct):
1 Zn 0.0000 0.5000 0.0000
2 Zn 0.5000 0.0000 0.0000
3 Re 0.0000 0.0000 0.5000
4 P 0.5000 0.5000 0.5000

Values from the calculation:
VASP energy	-18.87	eV for the cell shown
crystal system	tetragonal
symmetry	P4/mmm
ΔH_f (0 K)	385	meV per atom

# InCuSn

A relaxed InCuSn crystal (PBE, the Alexandria database).

abc: 6.8180 6.5569 6.5988
angles: 90.00 118.73 90.00
Positions (direct):
1 In 0.0003 0.1583 0.1565
2 In 0.0003 0.3417 0.6565
3 In 0.9997 0.6583 0.3435
4 In 0.9997 0.8417 0.8435
5 Cu 0.2267 0.9998 0.6131
6 Cu 0.2267 0.5002 0.1131
7 Cu 0.7733 0.0002 0.3869
8 Cu 0.7733 0.4998 0.8869
9 Sn 0.4999 0.2493 0.0053
10 Sn 0.4999 0.2507 0.5053
11 Sn 0.5001 0.7493 0.4947
12 Sn 0.5001 0.7507 0.9947

Values from the calculation:
VASP energy	-43.24	eV for the cell shown
crystal system	monoclinic
symmetry	P2_1/c
ΔH_f (0 K)	9	meV per atom

# Si3HS

A relaxed Si3HS crystal (PBE, the Alexandria database).

abc: 4.0621 4.0621 4.0621
angles: 90.00 90.00 90.00
Positions (direct):
1 Si 0.0000 0.0000 0.5000
2 Si 0.0000 0.5000 0.0000
3 Si 0.5000 0.0000 0.0000
4 H 0.0000 0.0000 0.0000
5 S 0.5000 0.5000 0.5000

Values from the calculation:
E above lowest polymorph	0	meV per atom
VASP energy	-19.75	eV for the cell shown
crystal system	cubic
symmetry	Pm-3m

# NbFe2H2

A relaxed NbFe2H2 crystal (PBE, the Alexandria database).

abc: 5.6324 5.6324 2.8630
angles: 90.00 90.00 90.00
Positions (direct):
1 Nb 0.0000 0.0000 0.0000
2 Nb 0.5000 0.5000 0.0000
3 Fe 0.1374 0.3626 0.5000
4 Fe 0.3626 0.8626 0.5000
5 Fe 0.6374 0.1374 0.5000
6 Fe 0.8626 0.6374 0.5000
7 H 0.1314 0.6314 0.0000
8 H 0.3686 0.1314 0.0000
9 H 0.6314 0.8686 0.0000
10 H 0.8686 0.3686 0.0000

Values from the calculation:
E above lowest polymorph	270	meV per atom
VASP energy	-64.38	eV for the cell shown
crystal system	tetragonal
symmetry	P4/mbm

# HoAs3Pd3

A relaxed HoAs3Pd3 crystal (PBE, the Alexandria database).

abc: 6.8182 6.8182 6.8182
angles: 90.00 90.00 90.00
Positions (direct):
1 Ho 0.0000 0.0000 0.0000
2 Ho 0.5000 0.5000 0.5000
3 As 0.0000 0.2500 0.5000
4 As 0.0000 0.7500 0.5000
5 As 0.2500 0.5000 0.0000
6 As 0.5000 0.0000 0.2500
7 As 0.5000 0.0000 0.7500
8 As 0.7500 0.5000 0.0000
9 Pd 0.0000 0.5000 0.2500
10 Pd 0.0000 0.5000 0.7500
11 Pd 0.2500 0.0000 0.5000
12 Pd 0.5000 0.2500 0.0000
13 Pd 0.5000 0.7500 0.0000
14 Pd 0.7500 0.0000 0.5000

Values from the calculation:
VASP energy	-70.96	eV for the cell shown
crystal system	cubic
symmetry	Pm-3n
ΔH_f (0 K)	-197	meV per atom

# HoOs4

A relaxed HoOs4 crystal (PBE, the Alexandria database).

abc: 4.7040 4.7040 4.7040
angles: 90.00 90.00 90.00
Positions (direct):
1 Ho 0.0000 0.0000 0.0000
2 Os 0.0000 0.0000 0.5000
3 Os 0.0000 0.5000 0.0000
4 Os 0.5000 0.0000 0.0000
5 Os 0.5000 0.5000 0.5000

Values from the calculation:
VASP energy	-32.62	eV for the cell shown
crystal system	cubic
symmetry	Pm-3m
ΔH_f (0 K)	3376	meV per atom

# ZnPd2Au6

A relaxed ZnPd2Au6 crystal (PBE, the Alexandria database).

abc: 7.1916 7.1916 7.4937
angles: 115.38 115.38 87.46
Positions (direct):
1 Zn 0.1561 0.8439 0.7500
2 Zn 0.8439 0.1561 0.2500
3 Pd 0.2012 0.4443 0.5746
4 Pd 0.4443 0.2012 0.0746
5 Pd 0.5557 0.7988 0.9254
6 Pd 0.7988 0.5557 0.4254
7 Au 0.0003 0.2087 0.6825
8 Au 0.9997 0.7913 0.3175
9 Au 0.0894 0.3652 0.1420
10 Au 0.2087 0.0003 0.1825
11 Au 0.3236 0.5688 0.0228
12 Au 0.3652 0.0894 0.6420
13 Au 0.4312 0.6764 0.4772
14 Au 0.5688 0.3236 0.5228
15 Au 0.6348 0.9106 0.3580
16 Au 0.6764 0.4312 0.9772
17 Au 0.7913 0.9997 0.8175
18 Au 0.9106 0.6348 0.8580

Values from the calculation:
E above lowest polymorph	0	meV per atom
VASP energy	-64.33	eV for the cell shown
crystal system	monoclinic
symmetry	C2/c
ΔH_f (0 K)	-93	meV per atom

# KIn2CoPb

A relaxed KIn2CoPb crystal (PBE, the Alexandria database).

abc: 5.1025 5.1025 5.1864
angles: 90.00 90.00 90.00
Positions (direct):
1 K 0.0000 0.0000 0.0000
2 In 0.0000 0.5000 0.5000
3 In 0.5000 0.0000 0.5000
4 Co 0.5000 0.5000 0.5000
5 Pb 0.5000 0.5000 0.0000

Values from the calculation:
VASP energy	-17.25	eV for the cell shown
crystal system	tetragonal
symmetry	P4/mmm
ΔH_f (0 K)	28	meV per atom

# Li6PrPd2

A relaxed Li6PrPd2 crystal (PBE, the Alexandria database).

abc: 4.0038 4.0038 10.7926
angles: 90.00 90.00 90.00
Positions (direct):
1 Li 0.0000 0.0000 0.0000
2 Li 0.0000 0.5000 0.2158
3 Li 0.0000 0.5000 0.7842
4 Li 0.5000 0.0000 0.2158
5 Li 0.5000 0.0000 0.7842
6 Li 0.5000 0.5000 0.0000
7 Pr 0.0000 0.0000 0.5000
8 Pd 0.5000 0.5000 0.3731
9 Pd 0.5000 0.5000 0.6269

Values from the calculation:
VASP energy	-29.23	eV for the cell shown
crystal system	tetragonal
symmetry	P4/mmm
ΔH_f (0 K)	-287	meV per atom

# TlReP

A relaxed TlReP crystal (PBE, the Alexandria database).

abc: 4.3878 4.3878 4.3878
angles: 60.00 60.00 60.00
Positions (direct):
1 Tl 0.0000 0.0000 0.0000
2 Re 0.2500 0.2500 0.2500
3 P 0.5000 0.5000 0.5000

Values from the calculation:
E above lowest polymorph	741	meV per atom
VASP energy	-17.27	eV for the cell shown
crystal system	cubic
symmetry	F-43m
ΔH_f (0 K)	985	meV per atom

# PrTlPd2

A relaxed PrTlPd2 crystal (PBE, the Alexandria database).

abc: 4.8126 4.8126 3.7916
angles: 90.00 90.00 90.00
Positions (direct):
1 Pr 0.0000 0.0000 0.0000
2 Tl 0.5000 0.5000 0.0000
3 Pd 0.0000 0.5000 0.5000
4 Pd 0.5000 0.0000 0.5000

Values from the calculation:
VASP energy	-19.43	eV for the cell shown
crystal system	tetragonal
symmetry	P4/mmm
ΔH_f (0 K)	-475	meV per atom

# CdIrBr2

A relaxed CdIrBr2 crystal (PBE, the Alexandria database).

abc: 6.5001 6.5001 6.5001
angles: 145.27 145.27 49.93
Positions (direct):
1 Cd 0.0000 0.0000 0.0000
2 Ir 0.2500 0.7500 0.5000
3 Br 0.5000 0.5000 0.0000
4 Br 0.7500 0.2500 0.5000

Values from the calculation:
E above lowest polymorph	700	meV per atom
VASP energy	-10.49	eV for the cell shown
crystal system	tetragonal
raw formation energy	0.66	eV per atom
symmetry	I-4m2

# CaCu2Pb

A relaxed CaCu2Pb crystal (PBE, the Alexandria database).

abc: 4.3229 4.3229 6.0850
angles: 111.10 111.10 60.21
Positions (direct):
1 Ca 0.0000 0.0000 0.0000
2 Cu 0.2128 0.2128 0.6399
3 Cu 0.5509 0.5509 0.6535
4 Pb 0.8004 0.8004 0.4055

Values from the calculation:
VASP energy	-14.29	eV for the cell shown
crystal system	monoclinic
symmetry	Cm
ΔH_f (0 K)	-97	meV per atom

# BaOs3Rh

A relaxed BaOs3Rh crystal (PBE, the Alexandria database).

abc: 4.9657 4.9657 4.9657
angles: 90.00 90.00 90.00
Positions (direct):
1 Ba 0.0000 0.0000 0.0000
2 Os 0.0000 0.0000 0.5000
3 Os 0.0000 0.5000 0.0000
4 Os 0.5000 0.0000 0.0000
5 Rh 0.5000 0.5000 0.5000

Values from the calculation:
E above lowest polymorph	2192	meV per atom
VASP energy	-23.08	eV for the cell shown
crystal system	cubic
symmetry	Pm-3m
ΔH_f (0 K)	3977	meV per atom

# MgNp2H8

A relaxed MgNp2H8 crystal (PBE, the Alexandria database).

abc: 6.2267 6.2267 6.2267
angles: 145.18 134.66 58.41
Positions (direct):
1 Mg 0.0000 0.0000 0.0000
2 Np 0.3254 0.3254 0.0000
3 Np 0.6746 0.6746 0.0000
4 H 0.1055 0.8555 0.2500
5 H 0.1968 0.6968 0.5000
6 H 0.2535 0.5000 0.7535
7 H 0.3945 0.1445 0.2500
8 H 0.6055 0.8555 0.7500
9 H 0.7465 0.5000 0.2465
10 H 0.8032 0.3032 0.5000
11 H 0.8945 0.1445 0.7500

Values from the calculation:
VASP energy	-57.00	eV for the cell shown
crystal system	orthorhombic
symmetry	Immm

# LaMgCo2

A relaxed LaMgCo2 crystal (PBE, the Alexandria database).

abc: 4.5283 4.5283 3.3879
angles: 90.00 90.00 90.00
Positions (direct):
1 La 0.0000 0.0000 0.0000
2 Mg 0.5000 0.5000 0.0000
3 Co 0.0000 0.5000 0.5000
4 Co 0.5000 0.0000 0.5000

Values from the calculation:
VASP energy	-20.11	eV for the cell shown
crystal system	tetragonal
symmetry	P4/mmm
ΔH_f (0 K)	157	meV per atom

# Tl2TcHgN

A relaxed Tl2TcHgN crystal (PBE, the Alexandria database).

abc: 5.9750 5.9750 3.8680
angles: 90.00 90.00 90.00
Positions (direct):
1 Tl 0.0000 0.5000 0.0000
2 Tl 0.5000 0.0000 0.0000
3 Tc 0.0000 0.0000 0.5000
4 Hg 0.5000 0.5000 0.0000
5 N 0.5000 0.5000 0.5000

Values from the calculation:
E above lowest polymorph	249	meV per atom
VASP energy	-15.56	eV for the cell shown
crystal system	tetragonal
raw formation energy	1.63	eV per atom
symmetry	P4/mmm

# Rb4Pu3MgS8

A relaxed Rb4Pu3MgS8 crystal (PBE, the Alexandria database).

abc: 8.2103 8.2103 8.9759
angles: 117.25 117.25 59.69
Positions (direct):
1 Rb 0.0000 0.0000 0.0000
2 Rb 0.0000 0.5000 0.0000
3 Rb 0.5000 0.0000 0.0000
4 Rb 0.5000 0.5000 0.0000
5 Pu 0.0000 0.0000 0.5000
6 Pu 0.0000 0.5000 0.5000
7 Pu 0.5000 0.0000 0.5000
8 Mg 0.5000 0.5000 0.5000
9 S 0.2313 0.2313 0.6912
10 S 0.2336 0.7270 0.6871
11 S 0.2707 0.2707 0.3135
12 S 0.2730 0.7664 0.3129
13 S 0.7270 0.2336 0.6871
14 S 0.7293 0.7293 0.6865
15 S 0.7664 0.2730 0.3129
16 S 0.7687 0.7687 0.3088

Values from the calculation:
VASP energy	-104.52	eV for the cell shown
crystal system	monoclinic
raw formation energy	-1.44	eV per atom
symmetry	C2/m

# AcSm2Cd8

A relaxed AcSm2Cd8 crystal (PBE, the Alexandria database).

abc: 9.1858 9.1858 5.4015
angles: 107.03 107.03 125.12
Positions (direct):
1 Ac 0.0000 0.0000 0.0000
2 Sm 0.3083 0.6917 0.5000
3 Sm 0.6917 0.3083 0.5000
4 Cd 0.1016 0.3645 0.7343
5 Cd 0.2050 0.7950 0.0000
6 Cd 0.3645 0.1016 0.7343
7 Cd 0.4986 0.4986 0.7490
8 Cd 0.5014 0.5014 0.2510
9 Cd 0.6355 0.8984 0.2657
10 Cd 0.7950 0.2050 0.0000
11 Cd 0.8984 0.6355 0.2657

Values from the calculation:
VASP energy	-24.13	eV for the cell shown
crystal system	monoclinic
symmetry	C2/m
ΔH_f (0 K)	-297	meV per atom

# CeBiPdN

A relaxed CeBiPdN crystal (PBE, the Alexandria database).

abc: 7.5998 7.5998 7.5998
angles: 153.98 153.98 37.13
Positions (direct):
1 Ce 0.0000 0.0000 0.0000
2 Bi 0.2599 0.2599 0.0000
3 Pd 0.6488 0.6488 0.0000
4 N 0.4974 0.4974 0.0000

Values from the calculation:
VASP energy	-26.32	eV for the cell shown
crystal system	tetragonal
raw formation energy	-0.75	eV per atom
symmetry	I4mm

# YTmTh2

A relaxed YTmTh2 crystal (PBE, the Alexandria database).

abc: 11.6579 11.6579 11.6579
angles: 17.59 17.59 17.59
Positions (direct):
1 Y 0.0000 0.0000 0.0000
2 Tm 0.5000 0.5000 0.5000
3 Th 0.2490 0.2490 0.2490
4 Th 0.7510 0.7510 0.7510

Values from the calculation:
E above lowest polymorph	1	meV per atom
VASP energy	-25.64	eV for the cell shown
crystal system	trigonal
symmetry	R-3m
ΔH_f (0 K)	34	meV per atom

# Ba4SiBr

A relaxed Ba4SiBr crystal (PBE, the Alexandria database).

abc: 7.1232 7.1232 7.1232
angles: 60.00 60.00 60.00
Positions (direct):
1 Ba 0.3760 0.3760 0.3760
2 Ba 0.3760 0.3760 0.8720
3 Ba 0.3760 0.8720 0.3760
4 Ba 0.8720 0.3760 0.3760
5 Si 0.7500 0.7500 0.7500
6 Br 0.0000 0.0000 0.0000

Values from the calculation:
VASP energy	-13.55	eV for the cell shown
crystal system	cubic
raw formation energy	0.21	eV per atom
symmetry	F-43m

# ZrTl2S2

A relaxed ZrTl2S2 crystal (PBE, the Alexandria database).

abc: 7.8689 7.8689 3.8327
angles: 90.00 90.00 90.00
Positions (direct):
1 Zr 0.0000 0.0000 0.0000
2 Zr 0.5000 0.5000 0.0000
3 Tl 0.1324 0.3676 0.0000
4 Tl 0.3676 0.8676 0.0000
5 Tl 0.6324 0.1324 0.0000
6 Tl 0.8676 0.6324 0.0000
7 S 0.1847 0.6847 0.5000
8 S 0.3153 0.1847 0.5000
9 S 0.6847 0.8153 0.5000
10 S 0.8153 0.3153 0.5000

Values from the calculation:
E above lowest polymorph	0	meV per atom
VASP energy	-41.29	eV for the cell shown
crystal system	tetragonal
raw formation energy	0.18	eV per atom
symmetry	P4/mbm

# PmMnAlSi2

A relaxed PmMnAlSi2 crystal (PBE, the Alexandria database).

abc: 6.1080 6.1080 6.1080
angles: 141.99 141.99 54.85
Positions (direct):
1 Pm 0.0000 0.0000 0.0000
2 Mn 0.2500 0.7500 0.5000
3 Al 0.7500 0.2500 0.5000
4 Si 0.3877 0.3877 0.0000
5 Si 0.6123 0.6123 0.0000

Values from the calculation:
VASP energy	-31.17	eV for the cell shown
crystal system	tetragonal
raw formation energy	-0.53	eV per atom
symmetry	I-4m2

Going through the records in order, we get theoretical density values of 7.174 10.253 7.628 2.907 7.555 7.428 14.770 15.556 6.577 3.795 11.719 10.554 8.694 6.928 10.998 8.650 6.719 8.674 5.070 8.234 9.243 9.492 4.271 7.894 5.478 Mg/m³.